Computed, not measured: crystalline Sm2Tm7Sc2 at its relaxed geometry at the GGA-PBE level of DFT.

Computed properties:
Magnetic moment = 0.000 μB/atom
Calculated total energy = -92.959 eV for the cell shown
Energy relative to the lowest polymorph listed for this composition = 545 kJ/mol of formula units

Cell and atoms, written as CIF:
```
data_Sm2Tm7Sc2
_cell_length_a 11.5320
_cell_length_b 14.1878
_cell_length_c 5.0366
_cell_angle_alpha 90.00
_cell_angle_beta 103.90
_cell_angle_gamma 90.00
_space_group_name_H-M_alt 'C 1 2/m 1'
_space_group_IT_number 12
loop_
_space_group_symop_operation_xyz
'x,y,z'
'-x,-y,-z'
'-x,y,-z'
'x,-y,z'
'x+1/2,y+1/2,z'
'-x+1/2,-y+1/2,-z'
'-x+1/2,y+1/2,-z'
'x+1/2,-y+1/2,z'
loop_
_atom_site_label
_atom_site_fract_x
_atom_site_fract_y
_atom_site_fract_z
_atom_site_occupancy
Sm1 0.0000 0.1898 0.0000 1
Tm1 0.0000 0.5000 0.5000 1
Tm2 0.0844 0.0000 0.7747 1
Tm3 0.1683 0.3811 0.0996 1
Sc1 0.2143 0.0000 0.3269 1
```

Computed, not measured: crystalline SmTm14Sc at its relaxed geometry at the GGA-PBE level of DFT.

Computed properties:
Magnetic moment = 0.000 μB/atom
Calculated total energy = -144.994 eV for the cell shown

Cell and atoms, written as CIF:
```
data_SmTm14Sc
_cell_length_a 10.8628
_cell_length_b 8.1280
_cell_length_c 10.9121
_cell_angle_alpha 90.00
_cell_angle_beta 90.00
_cell_angle_gamma 90.00
_space_group_name_H-M_alt 'A m m 2'
_space_group_IT_number 38
loop_
_space_group_symop_operation_xyz
'x,y,z'
'-x,-y,z'
'-x,y,z'
'x,-y,z'
'x,y+1/2,z+1/2'
'-x,-y+1/2,z+1/2'
'-x,y+1/2,z+1/2'
'x,-y+1/2,z+1/2'
loop_
_atom_site_label
_atom_site_fract_x
_atom_site_fract_y
_atom_site_fract_z
_atom_site_occupancy
Sm1 0.0000 0.0000 0.0000 1
Tm1 0.0000 0.2033 0.7148 1
Tm2 0.2314 0.0000 0.2094 1
Tm3 0.2486 0.2102 0.9286 1
Tm4 0.2695 0.0000 0.6473 1
Tm5 0.5000 0.0000 0.4133 1
Tm6 0.5000 0.0000 0.8608 1
Tm7 0.5000 0.2042 0.1409 1
Sc1 0.0000 0.0000 0.4410 1
```

Computed, not measured: crystalline Sm12Tm5Sc at its relaxed geometry at the GGA-PBE level of DFT.

Computed properties:
Magnetic moment = 0.000 μB/atom
Calculated total energy = -169.601 eV for the cell shown

Cell and atoms, written as CIF:
```
data_Sm12Tm5Sc
_cell_length_a 15.0880
_cell_length_b 15.1759
_cell_length_c 5.0617
_cell_angle_alpha 90.00
_cell_angle_beta 90.00
_cell_angle_gamma 90.00
_space_group_name_H-M_alt 'C m m m'
_space_group_IT_number 65
_space_group_name_Hall '-C 2 2'
loop_
_atom_site_label
_atom_site_fract_x
_atom_site_fract_y
_atom_site_fract_z
_atom_site_occupancy
Sm1 0.1626 0.0000 0.0000 1
Sm2 0.1637 0.1656 0.5000 1
Sm3 0.1655 0.3331 0.0000 1
Sm4 0.1658 0.5000 0.5000 1
Tm1 0.0000 0.1654 0.0000 1
Tm2 0.0000 0.3337 0.5000 1
Tm3 0.0000 0.5000 0.0000 1
Sc1 0.0000 0.0000 0.5000 1
```

no.,formation energy from the elements (eV/atom)
1,0.63
2,0.07
3,0.03